Version i
First-principles (GGA-PBE) data for crystalline Lu2ZnTc at its relaxed geometry, as listed in OQMD.

Results
Density ... 9.59 g cm⁻³

Cell and atoms, written as CIF:
```
data_Lu2ZnTc
_chemical_formula_sum 'Lu4 Zn2 Tc2'
_space_group_name_H-M_alt 'P 63/m m c'
_space_group_IT_number 194
_space_group_name_Hall '-P 6c 2c'
_cell_length_a 4.4441
_cell_length_b 4.4441
_cell_length_c 10.3945
_cell_angle_alpha 90.00
_cell_angle_beta 90.00
_cell_angle_gamma 120.00
loop_
_atom_site_label
_atom_site_type_symbol
_atom_site_fract_x
_atom_site_fract_y
_atom_site_fract_z
_atom_site_occupancy
Lu1 Lu 0.3333 0.6667 0.1018 1
Zn1 Zn 0.0000 0.0000 0.2500 1
Tc1 Tc 0.3333 0.6667 0.7500 1
```


Version ii
First-principles (GGA-PBE) data for crystalline Lu2ZnTc at its relaxed geometry, as listed in OQMD.

Results
Density ... 11.10 g cm⁻³

Cell and atoms, written as CIF:
```
data_Lu2ZnTc
_chemical_formula_sum 'Lu8 Zn4 Tc4'
_space_group_name_H-M_alt 'F -4 3 m'
_space_group_IT_number 216
_space_group_name_Hall 'F -4 2 3'
_cell_length_a 6.7477
_cell_length_b 6.7477
_cell_length_c 6.7477
_cell_angle_alpha 90.00
_cell_angle_beta 90.00
_cell_angle_gamma 90.00
loop_
_atom_site_label
_atom_site_type_symbol
_atom_site_fract_x
_atom_site_fract_y
_atom_site_fract_z
_atom_site_occupancy
Lu1 Lu 0.0000 0.0000 0.0000 1
Lu2 Lu 0.2500 0.2500 0.2500 1
Zn1 Zn 0.0000 0.0000 0.5000 1
Tc1 Tc 0.2500 0.2500 0.7500 1
```


Version iii
First-principles (GGA-PBE) data for crystalline Lu2ZnTc at its relaxed geometry, as listed in OQMD.

Results
Density ... 9.84 g cm⁻³

Cell and atoms, written as CIF:
```
data_Lu2ZnTc
_chemical_formula_sum 'Lu4 Zn2 Tc2'
_space_group_name_H-M_alt 'P 63/m m c'
_space_group_IT_number 194
_space_group_name_Hall '-P 6c 2c'
_cell_length_a 4.9328
_cell_length_b 4.9328
_cell_length_c 8.2190
_cell_angle_alpha 90.00
_cell_angle_beta 90.00
_cell_angle_gamma 120.00
loop_
_atom_site_label
_atom_site_type_symbol
_atom_site_fract_x
_atom_site_fract_y
_atom_site_fract_z
_atom_site_occupancy
Lu1 Lu 0.3333 0.6667 0.0812 1
Zn1 Zn 0.0000 0.0000 0.0000 1
Tc1 Tc 0.3333 0.6667 0.7500 1
```


Version iv
First-principles (GGA-PBE) data for crystalline Lu2ZnTc at its relaxed geometry, as listed in OQMD.

Results
Density ... 9.55 g cm⁻³

Cell and atoms, written as CIF:
```
data_Lu2ZnTc
_chemical_formula_sum 'Lu4 Zn2 Tc2'
_space_group_name_H-M_alt 'P 63/m m c'
_space_group_IT_number 194
_space_group_name_Hall '-P 6c 2c'
_cell_length_a 4.6913
_cell_length_b 4.6913
_cell_length_c 9.3617
_cell_angle_alpha 90.00
_cell_angle_beta 90.00
_cell_angle_gamma 120.00
loop_
_atom_site_label
_atom_site_type_symbol
_atom_site_fract_x
_atom_site_fract_y
_atom_site_fract_z
_atom_site_occupancy
Lu1 Lu 0.3333 0.6667 0.0826 1
Zn1 Zn 0.3333 0.6667 0.7500 1
Tc1 Tc 0.0000 0.0000 0.0000 1
```


Energy ordering: version i at the bottom, the next structure 0.110 eV/atom above.


Version i
First-principles (GGA-PBE) data for crystalline YLuTlTe3 at its relaxed geometry, as listed in OQMD.

Results
Density ... 7.01 g cm⁻³

Cell and atoms, written as CIF:
```
data_YLuTlTe3
_chemical_formula_sum 'Y4 Lu4 Tl4 Te12'
_space_group_name_H-M_alt 'C m c m'
_space_group_IT_number 63
_space_group_name_Hall '-C 2c 2'
_cell_length_a 4.4082
_cell_length_b 15.3040
_cell_length_c 11.9504
_cell_angle_alpha 90.00
_cell_angle_beta 90.00
_cell_angle_gamma 90.00
loop_
_atom_site_label
_atom_site_type_symbol
_atom_site_fract_x
_atom_site_fract_y
_atom_site_fract_z
_atom_site_occupancy
Y1 Y 0.0000 0.0000 0.0000 1
Lu1 Lu 0.0000 0.4397 0.2500 1
Tl1 Tl 0.0000 0.2472 0.7500 1
Te1 Te 0.0000 0.0658 0.2500 1
Te2 Te 0.0000 0.3575 0.0328 1
```


Version ii
First-principles (GGA-PBE) data for crystalline YLuTlTe3 at its relaxed geometry, as listed in OQMD.

Results
Density ... 7.09 g cm⁻³

Cell and atoms, written as CIF:
```
data_YLuTlTe3
_chemical_formula_sum 'Y4 Lu4 Tl4 Te12'
_space_group_name_H-M_alt 'C 1 2/m 1'
_space_group_IT_number 12
_space_group_name_Hall '-C 2y'
_cell_length_a 18.8549
_cell_length_b 4.3306
_cell_length_c 10.0300
_cell_angle_alpha 90.00
_cell_angle_beta 103.24
_cell_angle_gamma 90.00
loop_
_atom_site_label
_atom_site_type_symbol
_atom_site_fract_x
_atom_site_fract_y
_atom_site_fract_z
_atom_site_occupancy
Y1 Y 0.1703 0.0000 0.0726 1
Lu1 Lu 0.0021 0.5000 0.2098 1
Tl1 Tl 0.1441 0.0000 0.5522 1
Te1 Te 0.0000 0.0000 0.0000 1
Te2 Te 0.0000 0.5000 0.5000 1
Te3 Te 0.1635 0.5000 0.8482 1
Te4 Te 0.1646 0.5000 0.2878 1
```


Energy ordering: version ii at the bottom, the next structure 0.053 eV/atom above.


Version i
First-principles (GGA-PBE) data for crystalline TmLu at its relaxed geometry, as listed in OQMD.

Results
Density ... 8.70 g cm⁻³

Cell and atoms, written as CIF:
```
data_TmLu
_chemical_formula_sum 'Tm4 Lu4'
_space_group_name_H-M_alt 'F m -3 m'
_space_group_IT_number 225
_space_group_name_Hall '-F 4 2 3'
_cell_length_a 6.4045
_cell_length_b 6.4045
_cell_length_c 6.4045
_cell_angle_alpha 90.00
_cell_angle_beta 90.00
_cell_angle_gamma 90.00
loop_
_atom_site_label
_atom_site_type_symbol
_atom_site_fract_x
_atom_site_fract_y
_atom_site_fract_z
_atom_site_occupancy
Tm1 Tm 0.0000 0.0000 0.0000 1
Lu1 Lu 0.0000 0.0000 0.5000 1
```


Version ii
First-principles (GGA-PBE) data for crystalline TmLu at its relaxed geometry, as listed in OQMD.

Results
Density ... 9.66 g cm⁻³

Cell and atoms, written as CIF:
```
data_TmLu
_chemical_formula_sum 'Tm1 Lu1'
_space_group_name_H-M_alt 'P -6 m 2'
_space_group_IT_number 187
_space_group_name_Hall 'P -6 2'
_cell_length_a 3.5235
_cell_length_b 3.5235
_cell_length_c 5.4966
_cell_angle_alpha 90.00
_cell_angle_beta 90.00
_cell_angle_gamma 120.00
loop_
_atom_site_label
_atom_site_type_symbol
_atom_site_fract_x
_atom_site_fract_y
_atom_site_fract_z
_atom_site_occupancy
Tm1 Tm 0.0000 0.0000 0.0000 1
Lu1 Lu 0.3333 0.6667 0.5000 1
```


Energy ordering: version ii at the bottom, the next structure 0.838 eV/atom above.


Version i
First-principles (GGA-PBE) data for crystalline LuU at its relaxed geometry, as listed in OQMD.

Results
Density ... 11.76 g cm⁻³

Cell and atoms, written as CIF:
```
data_LuU
_chemical_formula_sum 'Lu4 U4'
_space_group_name_H-M_alt 'F m -3 m'
_space_group_IT_number 225
_space_group_name_Hall '-F 4 2 3'
_cell_length_a 6.1553
_cell_length_b 6.1553
_cell_length_c 6.1553
_cell_angle_alpha 90.00
_cell_angle_beta 90.00
_cell_angle_gamma 90.00
loop_
_atom_site_label
_atom_site_type_symbol
_atom_site_fract_x
_atom_site_fract_y
_atom_site_fract_z
_atom_site_occupancy
Lu1 Lu 0.0000 0.0000 0.0000 1
U1 U 0.0000 0.0000 0.5000 1
```


Version ii
First-principles (GGA-PBE) data for crystalline LuU at its relaxed geometry, as listed in OQMD.

Results
Density ... 13.87 g cm⁻³

Cell and atoms, written as CIF:
```
data_LuU
_chemical_formula_sum 'Lu1 U1'
_space_group_name_H-M_alt 'P -6 m 2'
_space_group_IT_number 187
_space_group_name_Hall 'P -6 2'
_cell_length_a 3.1816
_cell_length_b 3.1816
_cell_length_c 5.6406
_cell_angle_alpha 90.00
_cell_angle_beta 90.00
_cell_angle_gamma 120.00
loop_
_atom_site_label
_atom_site_type_symbol
_atom_site_fract_x
_atom_site_fract_y
_atom_site_fract_z
_atom_site_occupancy
Lu1 Lu 0.0000 0.0000 0.0000 1
U1 U 0.6667 0.3333 0.5000 1
```


Version iii
First-principles (GGA-PBE) data for crystalline LuU at its relaxed geometry, as listed in OQMD.

Results
Density ... 9.47 g cm⁻³

Cell and atoms, written as CIF:
```
data_LuU
_chemical_formula_sum 'Lu4 U4'
_space_group_name_H-M_alt 'F -4 3 m'
_space_group_IT_number 216
_space_group_name_Hall 'F -4 2 3'
_cell_length_a 6.6177
_cell_length_b 6.6177
_cell_length_c 6.6177
_cell_angle_alpha 90.00
_cell_angle_beta 90.00
_cell_angle_gamma 90.00
loop_
_atom_site_label
_atom_site_type_symbol
_atom_site_fract_x
_atom_site_fract_y
_atom_site_fract_z
_atom_site_occupancy
Lu1 Lu 0.0000 0.0000 0.0000 1
U1 U 0.2500 0.2500 0.7500 1
```


Energy ordering: version ii at the bottom, the next structure 1.130 eV/atom above.


Version i
First-principles (GGA-PBE) data for crystalline LuZnW at its relaxed geometry, as listed in OQMD.

Results
Density ... 9.92 g cm⁻³

Cell and atoms, written as CIF:
```
data_LuZnW
_chemical_formula_sum 'Lu4 Zn4 W4'
_space_group_name_H-M_alt 'F -4 3 m'
_space_group_IT_number 216
_space_group_name_Hall 'F -4 2 3'
_cell_length_a 6.5743
_cell_length_b 6.5743
_cell_length_c 6.5743
_cell_angle_alpha 90.00
_cell_angle_beta 90.00
_cell_angle_gamma 90.00
loop_
_atom_site_label
_atom_site_type_symbol
_atom_site_fract_x
_atom_site_fract_y
_atom_site_fract_z
_atom_site_occupancy
Lu1 Lu 0.0000 0.0000 0.0000 1
Zn1 Zn 0.2500 0.2500 0.2500 1
W1 W 0.2500 0.2500 0.7500 1
```


Version ii
First-principles (GGA-PBE) data for crystalline LuZnW at its relaxed geometry, as listed in OQMD.

Results
Density ... 10.19 g cm⁻³

Cell and atoms, written as CIF:
```
data_LuZnW
_chemical_formula_sum 'Lu4 Zn4 W4'
_space_group_name_H-M_alt 'F -4 3 m'
_space_group_IT_number 216
_space_group_name_Hall 'F -4 2 3'
_cell_length_a 6.5153
_cell_length_b 6.5153
_cell_length_c 6.5153
_cell_angle_alpha 90.00
_cell_angle_beta 90.00
_cell_angle_gamma 90.00
loop_
_atom_site_label
_atom_site_type_symbol
_atom_site_fract_x
_atom_site_fract_y
_atom_site_fract_z
_atom_site_occupancy
Lu1 Lu 0.0000 0.0000 0.0000 1
Zn1 Zn 0.0000 0.0000 0.5000 1
W1 W 0.2500 0.2500 0.2500 1
```


Energy ordering: version ii at the bottom, the next structure 0.314 eV/atom above.